# 1
DFT (PBE-GGA) results for crystalline Zn5CuAg2 at its relaxed geometry.

POSCAR file:
```
Zn5CuAg2
1.0
4.114 0.000 0.000
0.000 4.114 0.000
-2.057 -2.057 7.140
Zn Ag Cu
5 2 1
direct
0.384 0.884 0.768
0.116 0.616 0.232
0.500 0.500 0.000
0.616 0.116 0.232
0.884 0.384 0.768
0.248 0.248 0.496
0.752 0.752 0.504
0.000 0.000 0.000
```

* total magnetization: 0.00 μB per cell
* space-group type: No. 139
* formation energy: -0.031 eV/atom

=====

# 2
DFT (PBE-GGA) results for crystalline Ac4TcI2 at its relaxed geometry.

POSCAR file:
```
Ac4TcI2
1.0
4.341 0.000 0.000
0.000 7.477 -5.743
0.000 -2.219 11.007
Ac I Tc
4 2 1
direct
0.500 0.617 0.796
0.500 0.241 0.061
0.000 0.098 0.273
0.000 0.759 0.584
0.500 0.131 0.686
0.500 0.726 0.172
0.000 0.929 0.929
```

* total magnetization: 0.00 μB per cell
* formation energy without anion corrections: -3.5 eV/f.u.
* space-group type: No. 10

=====

# 3
DFT (PBE-GGA) results for crystalline Cs2PmInI6 at its relaxed geometry.

POSCAR file:
```
Cs2PmInI6
1.0
8.764 0.000 0.002
0.000 9.276 0.000
0.082 0.000 12.705
In I Pm Cs
2 12 2 4
direct
0.000 0.500 0.500
0.500 0.000 0.000
0.090 0.483 0.763
0.709 0.315 0.956
0.319 0.716 0.456
0.590 0.017 0.263
0.410 0.983 0.737
0.791 0.815 0.544
0.819 0.784 0.956
0.209 0.185 0.456
0.181 0.216 0.044
0.291 0.685 0.044
0.681 0.284 0.544
0.910 0.517 0.237
0.000 0.500 0.000
0.500 0.000 0.500
0.526 0.576 0.750
0.026 0.924 0.250
0.474 0.424 0.250
0.974 0.076 0.750
```

* total magnetization: 0.00 μB per cell
* formation energy without anion corrections: -13.1 eV/f.u.
* space-group type: No. 14

=====

# 4
DFT (PBE-GGA) results for crystalline CuIrF2 at its relaxed geometry.

POSCAR file:
```
CuIrF2
1.0
1.573 0.000 7.303
-0.787 1.362 7.303
-0.787 -1.362 7.303
F Cu Ir
2 1 1
direct
0.094 0.094 0.094
0.906 0.906 0.906
0.500 0.500 0.500
0.000 0.000 0.000
```

* total magnetization: 0.00 μB per cell
* energy relative to the lowest polymorph listed for this composition: 0.000 eV per atom
* formation energy without anion corrections: -2.7 eV/f.u.
* space-group type: No. 166

=====

# 5
DFT (PBE-GGA) results for crystalline CdHgTe2 at its relaxed geometry.

POSCAR file:
```
CdHgTe2
1.0
-3.393 -1.241 2.994
5.257 -6.171 -0.274
4.087 1.627 1.630
Cd Te Hg
1 2 1
direct
0.731 0.718 0.005
0.357 0.595 0.379
0.859 0.093 0.877
0.235 0.219 0.501
```

* total magnetization: 0.00 μB per cell
* energy relative to the lowest polymorph listed for this composition: 0.000 eV per atom
* formation energy without anion corrections: -1.2 eV/f.u.
* space-group type: No. 8

=====

# 6
DFT (PBE-GGA) results for crystalline NaTcOs3 at its relaxed geometry.

POSCAR file:
```
NaTcOs3
1.0
-4.716 -0.030 -0.087
0.091 -2.194 -4.175
-0.014 -4.176 2.194
Os Na Tc
3 1 1
direct
0.000 0.500 0.000
0.500 0.000 0.000
0.000 0.000 0.500
0.500 0.500 0.500
0.000 0.000 0.000
```

* total magnetization: 0.51 μB per cell
* energy relative to the lowest polymorph listed for this composition: 0.000 eV per atom
* space-group type: No. 221
* formation energy: 1.981 eV/atom